GGA-PBEsol Sr2ZrHg, optimized geometry; total magnetization = 0.00 μB per cell; calculated formation energy = 0.0236 eV per atom; symmetry = P4mm, No. 99
1.0
3.681 0.028 0.000
-0.028 3.681 0.000
0.000 0.000 9.595
Zr Sr Hg
1 2 1
direct
0.000 0.000 0.441
0.000 0.000 0.064
0.500 0.500 0.700
0.500 0.500 0.295

=====

GGA-PBEsol Ni8Sb, optimized geometry; total magnetization = 1.87 μB per cell; formation energy without anion corrections = -0.06 eV/atom; symmetry = I4/mmm, No. 139
1.0
3.584 0.000 0.000
1.792 5.309 0.000
1.792 0.000 5.309
Sb Ni
1 8
direct
0.000 0.000 0.000
0.000 0.340 0.660
0.327 0.000 0.345
0.000 0.660 0.340
0.673 0.000 0.655
0.340 0.660 0.660
0.327 0.345 0.000
0.660 0.340 0.340
0.673 0.655 0.000

=====

GGA-PBEsol Ca, optimized geometry; total magnetization = 0.00 μB per cell; excess energy over the best structure of this formula in the dataset = 0.392 eV per atom; calculated formation energy = 0.3922 eV per atom; symmetry = Pm-3m, No. 221
1.0
-0.223 -2.303 2.562
0.096 -2.571 -2.302
3.443 -0.078 0.230
Ca
1
direct
0.000 0.000 0.000

=====

GGA-PBEsol TaTeW, optimized geometry; total magnetization = 0.00 μB per cell; excess energy over the best structure of this formula in the dataset = 0.000 eV per atom; formation energy without anion corrections = 0.47 eV/atom; symmetry = I4mm, No. 107
1.0
3.383 0.000 0.000
0.000 3.383 0.000
-1.692 -1.692 4.774
W Te Ta
1 1 1
direct
0.341 0.341 0.683
0.669 0.669 0.337
0.990 0.990 0.980

=====

GGA-PBEsol TaSe, optimized geometry; total magnetization = 0.00 μB per cell; formation energy without anion corrections = -0.42 eV/atom; symmetry = P4/nmm, No. 129
1.0
-0.811 1.413 2.687
0.640 -2.639 1.581
7.606 2.450 1.008
Ta Se
2 2
direct
0.000 0.500 0.364
0.500 0.000 0.636
0.500 0.000 0.191
0.000 0.500 0.809

=====

GGA-PBEsol BaLa2Mo, optimized geometry; total magnetization = 0.00 μB per cell; excess energy over the best structure of this formula in the dataset = 0.000 eV per atom; calculated formation energy = 0.5675 eV per atom; symmetry = P4mm, No. 99
1.0
3.963 0.000 0.000
0.000 3.963 0.000
0.000 0.000 8.074
Mo La Ba
1 2 1
direct
0.000 0.000 0.432
0.500 0.500 0.288
0.000 0.000 0.077
0.500 0.500 0.702